LaCdOs2 (PBE, optimized geometry); space group = Pmmm; N(E_F) = 5.7 states/eV per cell
1.0
2.9245 0.0000 0.0000
0.0000 4.3693 0.0000
0.0000 0.0000 6.3880
Cd Os La
1 2 1
direct
0.5000 0.5000 0.2500 Cd
0.0000 0.0000 0.0588 Os
0.0000 0.0000 0.4412 Os
0.5000 0.5000 0.7500 La

=====

EuU3 (PBE, optimized geometry); space group = Pm-3m; N(E_F) = 13.5 states/eV per cell
1.0
-1.0984 -0.7102 -4.3035
-1.3507 -4.1644 1.0320
-4.1473 1.5443 0.8037
Eu U
1 3
direct
0.0000 0.0000 0.0000 Eu
0.0000 0.5000 0.5000 U
0.5000 0.0000 0.5000 U
0.5000 0.5000 0.0000 U

=====

Nd5SmHo2Tm (PBE, optimized geometry); space group = Cmc2_1; N(E_F) = 28.7 states/eV per cell
1.0
-0.2781 -3.4260 -4.4781
1.7723 -6.3503 8.3065
-10.5938 -1.0476 1.4594
Nd Sm Ho Tm
10 2 4 2
direct
0.3881 0.7761 0.0230 Nd
0.7194 0.4388 0.8100 Nd
0.4821 0.9642 0.7440 Nd
0.2967 0.5933 0.7046 Nd
0.9843 0.9686 0.5192 Nd
0.6119 0.2239 0.5230 Nd
0.2806 0.5612 0.3100 Nd
0.5179 0.0358 0.2440 Nd
0.7033 0.4067 0.2046 Nd
0.0157 0.0314 0.0192 Nd
0.7999 0.5997 0.5097 Sm
0.2001 0.4003 0.0097 Sm
0.8848 0.7695 0.8116 Ho
0.1110 0.2219 0.7393 Ho
0.1152 0.2305 0.3116 Ho
0.8890 0.7781 0.2393 Ho
0.5915 0.1831 0.9626 Tm
0.4085 0.8169 0.4626 Tm

=====

YAsPd2S (PBE, optimized geometry); space group = P4/mmm; N(E_F) = 3.4 states/eV per cell
1.0
-2.7335 4.3096 0.1272
-3.9226 -2.5425 1.8467
1.6478 0.9051 4.7462
Y As S Pd
1 1 1 2
direct
0.0000 0.0000 0.0000 Y
0.5000 0.5000 0.5000 As
0.0000 0.5000 0.0000 S
0.0000 0.0000 0.5000 Pd
0.5000 0.0000 0.0000 Pd

=====

LuMgTiAl (PBE, optimized geometry); space group = F-43m; N(E_F) = 3.5 states/eV per cell
1.0
-4.5256 0.5773 1.6425
-1.1995 -1.6038 4.4160
-0.9005 3.1606 3.5654
Mg Lu Al Ti
1 1 1 1
direct
0.5000 0.5000 0.5000 Mg
0.7500 0.7500 0.7500 Lu
0.0000 0.0000 0.0000 Al
0.2500 0.2500 0.2500 Ti

=====

MnCr2Tc (PBE, optimized geometry); distance to the lowest polymorph of the same formula = 3.53 kJ/mol of atoms; space group = P2/m; N(E_F) = 4.7 states/eV per cell
1.0
-1.1070 3.9029 0.6532
-0.4295 0.2934 -2.4812
-4.6645 -1.2941 -0.1728
Cr Mn Tc
2 1 1
direct
0.0000 0.9792 0.0119 Cr
0.0000 0.5208 0.4881 Cr
0.5000 0.2500 0.2500 Mn
0.5000 0.7500 0.7500 Tc

=====

GdDy2O (PBE, optimized geometry); distance to the lowest polymorph of the same formula = 0.00 kJ/mol of atoms; space group = R-3m; N(E_F) = 3.6 states/eV per cell
1.0
-0.2456 1.5559 -3.1019
-2.9153 -0.3061 -1.8736
-4.4714 8.0071 2.4194
Gd O Dy
1 1 2
direct
0.0000 0.0000 0.0000 Gd
0.5000 0.5000 0.5000 O
0.1192 0.1192 0.6423 Dy
0.8808 0.8808 0.3577 Dy

=====

LiAcCdAu (PBE, optimized geometry); distance to the lowest polymorph of the same formula = 8.53 kJ/mol of atoms; space group = F-43m; N(E_F) = 3.1 states/eV per cell
1.0
-2.9392 -4.1548 1.4778
1.4099 -2.8753 4.2225
-2.8749 0.2352 4.4457
Ac Li Au Cd
1 1 1 1
direct
0.0000 0.0000 0.0000 Ac
0.5000 0.5000 0.5000 Li
0.2500 0.2500 0.2500 Au
0.7500 0.7500 0.7500 Cd

=====

CaEuZn (PBE, optimized geometry); distance to the lowest polymorph of the same formula = 16.11 kJ/mol of atoms; space group = P3m1; N(E_F) = 7.3 states/eV per cell
1.0
-1.7842 -0.2375 -3.5391
-3.4681 -3.4600 1.9806
-1.0394 5.1779 0.1766
Eu Zn Ca
1 1 1
direct
0.0360 0.0000 0.0000 Eu
0.4002 0.3333 0.6667 Zn
0.5638 0.6667 0.3333 Ca

=====

La2TcPbC (PBE, optimized geometry); space group = P4/mmm; N(E_F) = 4.7 states/eV per cell
1.0
-4.8757 1.7748 1.4531
-2.2332 -2.8939 -3.9588
-0.3965 -3.1696 2.5407
Pb C Tc La
1 1 1 2
direct
0.5000 0.5000 0.5000 Pb
0.0000 0.0000 0.0000 C
0.0000 0.0000 0.5000 Tc
0.0000 0.5000 0.0000 La
0.5000 0.0000 0.0000 La

=====

Pm2Cu3Sn5 (PBE, optimized geometry); distance to the lowest polymorph of the same formula = 4.63 kJ/mol of atoms; space group = Ibam; N(E_F) = 8.3 states/eV per cell
1.0
6.5020 0.0000 0.0000
3.2510 8.4542 0.0375
3.2510 1.3411 8.3472
Pm Cu Sn
4 6 10
direct
0.1352 0.6055 0.1241 Pm
0.6352 0.1241 0.6055 Pm
0.8648 0.3945 0.8759 Pm
0.3648 0.8759 0.3945 Pm
0.3647 0.5157 0.7550 Cu
0.8647 0.7550 0.5157 Cu
0.6353 0.4843 0.2450 Cu
0.1353 0.2450 0.4843 Cu
0.2500 0.0000 0.0000 Cu
0.7500 0.0000 0.0000 Cu
0.4039 0.2524 0.9398 Sn
0.9039 0.9398 0.2524 Sn
0.5961 0.7476 0.0602 Sn
0.0961 0.0602 0.7476 Sn
0.4898 0.7602 0.7602 Sn
0.5102 0.2398 0.2398 Sn
0.7500 0.5000 0.5000 Sn
0.2500 0.5000 0.5000 Sn
0.0102 0.2398 0.2398 Sn
0.9898 0.7602 0.7602 Sn

=====

| no. | final energy (eV for the cell shown) |
| --- | --- |
| 1 | -25.97 |
| 2 | -41.13 |
| 3 | -81.80 |
| 4 | -23.14 |
| 5 | -18.09 |
| 6 | -38.42 |
| 7 | -33.08 |
| 8 | -11.79 |
| 9 | -13.58 |
| 10 | -34.30 |
| 11 | -89.71 |